Compound: Ac4Er
Source: the Alexandria database
Functional: PBE
Structure: optimized geometry Values from VASP.

Quantum ESPRESSO input file:
```
&SYSTEM
  ibrav = 0, nat = 5, ntyp = 2
/
ATOMIC_SPECIES
Ac 227.00 Ac.upf
Er 167.26 Er.upf
CELL_PARAMETERS angstrom
6.252 0.000 0.000
0.000 6.252 0.000
0.000 0.000 6.252
ATOMIC_POSITIONS angstrom
Ac 0.000 0.000 0.000
Ac 0.000 3.126 3.126
Ac 3.126 0.000 3.126
Ac 3.126 3.126 0.000
Er 3.126 3.126 3.126
```

DOS at the Fermi energy = 8.5 states/eV/f.u.
symmetry = Pm-3m, No. 221
ρ = 7.31 Mg/m³
E_tot = -3.6406 eV per atom
relative energy among the computed polymorphs = 44.30 kJ per mole of atoms
E_form = 0.5587 eV/atom